# Ta7W5 PBE-GGA optimized geometry
data_Ta7W5
_cell_length_a 5.331
_cell_length_b 5.331
_cell_length_c 17.493
_cell_angle_alpha 90.00
_cell_angle_beta 90.00
_cell_angle_gamma 120.00
_symmetry_space_group_name_H-M 'P 1'
_symmetry_Int_Tables_number 1
_symmetry_space_group_name_Hall 'P 1'
loop_
_atom_site_label
_atom_site_fract_x
_atom_site_fract_y
_atom_site_fract_z
Ta1 0.500 0.000 0.000
Ta2 0.000 0.500 0.000
Ta3 0.500 0.500 0.000
Ta4 0.333 0.667 0.126
Ta5 0.667 0.333 0.158
Ta6 0.667 0.333 0.342
Ta7 0.333 0.667 0.374
Ta8 0.500 0.000 0.500
Ta9 0.000 0.500 0.500
Ta10 0.500 0.500 0.500
Ta11 0.667 0.333 0.626
Ta12 0.333 0.667 0.658
Ta13 0.333 0.667 0.842
Ta14 0.667 0.333 0.874
W1 0.000 0.000 0.100
W2 0.163 0.326 0.250
W3 0.163 0.837 0.250
W4 0.674 0.837 0.250
W5 0.000 0.000 0.400
W6 0.000 0.000 0.600
W7 0.326 0.163 0.750
W8 0.837 0.163 0.750
W9 0.837 0.674 0.750
W10 0.000 0.000 0.900
# Magnetic moment in μB/atom: 0.0000
# Volume in Å³ per cell: 430.5
# SG: P6_3/mmc (194)
# Theoretical density in kg/m³: 16863
# E_form in eV per atom: 0.236



# NaGdNO PBE-GGA optimized geometry
data_NaGdNO
_cell_length_a 6.495
_cell_length_b 7.674
_cell_length_c 5.864
_cell_angle_alpha 90.00
_cell_angle_beta 90.00
_cell_angle_gamma 90.00
_symmetry_space_group_name_H-M 'P 1'
_symmetry_Int_Tables_number 1
_symmetry_space_group_name_Hall 'P 1'
loop_
_atom_site_label
_atom_site_fract_x
_atom_site_fract_y
_atom_site_fract_z
Gd1 0.928 0.375 0.477
Gd2 0.428 0.625 0.477
Gd3 0.572 0.375 0.977
Gd4 0.072 0.625 0.977
N1 0.410 0.152 0.114
N2 0.910 0.848 0.114
N3 0.090 0.152 0.614
N4 0.590 0.848 0.614
Na1 0.068 0.112 0.014
Na2 0.568 0.888 0.014
Na3 0.432 0.112 0.514
Na4 0.932 0.888 0.514
O1 0.895 0.394 0.098
O2 0.395 0.606 0.098
O3 0.605 0.394 0.598
O4 0.105 0.606 0.598
# Magnetic moment in μB/atom: 0.2500
# Volume in Å³ per cell: 292.3
# SG: Pca2_1 (29)
# Theoretical density in kg/m³: 4778
# E in eV per cell: -95.2



# Tl2Sn3Hg2 PBE-GGA optimized geometry
data_Tl2Sn3Hg2
_cell_length_a 8.569
_cell_length_b 8.569
_cell_length_c 8.569
_cell_angle_alpha 36.22
_cell_angle_beta 36.22
_cell_angle_gamma 36.22
_symmetry_space_group_name_H-M 'P 1'
_symmetry_Int_Tables_number 1
_symmetry_space_group_name_Hall 'P 1'
loop_
_atom_site_label
_atom_site_fract_x
_atom_site_fract_y
_atom_site_fract_z
Hg1 0.050 0.050 0.050
Hg2 0.482 0.482 0.482
Sn1 0.342 0.342 0.342
Sn2 0.622 0.622 0.622
Sn3 0.916 0.916 0.916
Tl1 0.196 0.196 0.196
Tl2 0.766 0.766 0.766
# Volume in Å³ per cell: 196.5
# SG: R3m (160)
# Theoretical density in kg/m³: 9852
# E in eV per cell: -17.1



# Rb3NbH4C6O15 PBE-GGA optimized geometry
data_Rb3NbH4C6O15
_cell_length_a 7.759
_cell_length_b 8.786
_cell_length_c 11.166
_cell_angle_alpha 80.09
_cell_angle_beta 87.92
_cell_angle_gamma 88.25
_symmetry_space_group_name_H-M 'P 1'
_symmetry_Int_Tables_number 1
_symmetry_space_group_name_Hall 'P 1'
loop_
_atom_site_label
_atom_site_fract_x
_atom_site_fract_y
_atom_site_fract_z
C1 0.764 0.173 0.141
C2 0.565 0.658 0.154
C3 0.935 0.247 0.166
C4 0.414 0.627 0.248
C5 0.453 0.854 0.453
C6 0.264 0.902 0.468
C7 0.736 0.098 0.532
C8 0.547 0.146 0.547
C9 0.586 0.373 0.752
C10 0.065 0.753 0.834
C11 0.435 0.342 0.846
C12 0.236 0.827 0.859
H1 0.738 0.497 0.017
H2 0.172 0.411 0.096
H3 0.775 0.904 0.353
H4 0.969 0.949 0.369
H5 0.031 0.051 0.631
H6 0.225 0.096 0.647
H7 0.828 0.589 0.904
H8 0.262 0.503 0.983
Nb1 0.675 0.376 0.333
Nb2 0.325 0.624 0.667
O1 0.217 0.515 0.064
O2 0.761 0.084 0.066
O3 0.576 0.778 0.079
O4 0.074 0.213 0.117
O5 0.681 0.546 0.166
O6 0.634 0.220 0.203
O7 0.919 0.348 0.237
O8 0.293 0.718 0.254
O9 0.434 0.495 0.321
O10 0.897 0.874 0.340
O11 0.549 0.923 0.372
O12 0.196 0.008 0.395
O13 0.790 0.496 0.411
O14 0.811 0.176 0.436
O15 0.499 0.262 0.466
O16 0.501 0.738 0.534
O17 0.189 0.824 0.564
O18 0.210 0.504 0.589
O19 0.804 0.992 0.605
O20 0.451 0.077 0.628
O21 0.103 0.126 0.660
O22 0.566 0.505 0.679
O23 0.707 0.282 0.746
O24 0.081 0.652 0.763
O25 0.366 0.780 0.797
O26 0.319 0.454 0.834
O27 0.926 0.787 0.883
O28 0.424 0.222 0.921
O29 0.239 0.916 0.934
O30 0.783 0.485 0.936
Rb1 0.981 0.760 0.132
Rb2 0.371 0.033 0.147
Rb3 0.142 0.327 0.426
Rb4 0.858 0.673 0.574
Rb5 0.629 0.967 0.853
Rb6 0.019 0.240 0.868
# Magnetic moment in μB/atom: 0.0001
# Volume in Å³ per cell: 749.1
# SG: P-1 (2)
# Theoretical density in kg/m³: 2950
# E in eV per cell: -396.0



# PuScSn PBE-GGA optimized geometry
data_PuScSn
_cell_length_a 4.907
_cell_length_b 4.907
_cell_length_c 4.907
_cell_angle_alpha 60.00
_cell_angle_beta 60.00
_cell_angle_gamma 60.00
_symmetry_space_group_name_H-M 'P 1'
_symmetry_Int_Tables_number 1
_symmetry_space_group_name_Hall 'P 1'
loop_
_atom_site_label
_atom_site_fract_x
_atom_site_fract_y
_atom_site_fract_z
Pu1 0.250 0.250 0.250
Sc1 0.000 0.000 0.000
Sn1 0.750 0.750 0.750
# Magnetic moment in μB/atom: 2.2849
# Volume in Å³ per cell: 83.6
# SG: F-43m (216)
# Theoretical density in kg/m³: 8100
# E in eV per cell: -24.6



# Ta2Sn3W4N3 PBE-GGA optimized geometry
data_Ta2Sn3W4N3
_cell_length_a 5.857
_cell_length_b 5.857
_cell_length_c 13.645
_cell_angle_alpha 100.27
_cell_angle_beta 100.27
_cell_angle_gamma 55.12
_symmetry_space_group_name_H-M 'P 1'
_symmetry_Int_Tables_number 1
_symmetry_space_group_name_Hall 'P 1'
loop_
_atom_site_label
_atom_site_fract_x
_atom_site_fract_y
_atom_site_fract_z
N1 0.500 0.000 0.000
N2 0.806 0.416 0.026
N3 0.584 0.194 0.474
N4 0.000 0.500 0.500
N5 0.416 0.806 0.526
N6 0.194 0.584 0.974
Sn1 0.586 0.746 0.244
Sn2 0.919 0.081 0.250
Sn3 0.254 0.414 0.256
Sn4 0.746 0.586 0.744
Sn5 0.081 0.919 0.750
Sn6 0.414 0.254 0.756
Ta1 0.535 0.325 0.072
Ta2 0.675 0.465 0.428
Ta3 0.325 0.535 0.572
Ta4 0.465 0.675 0.928
W1 0.913 0.696 0.083
W2 0.163 0.079 0.085
W3 0.921 0.837 0.415
W4 0.304 0.087 0.417
W5 0.696 0.913 0.583
W6 0.079 0.163 0.585
W7 0.837 0.921 0.915
W8 0.087 0.304 0.917
# Magnetic moment in μB/atom: 0.0000
# Volume in Å³ per cell: 376.1
# SG: C2/c (15)
# Theoretical density in kg/m³: 13204
# E in eV per cell: -223.1



# CsPrSm PBE-GGA optimized geometry
data_CsPrSm
_cell_length_a 6.160
_cell_length_b 6.160
_cell_length_c 6.160
_cell_angle_alpha 60.00
_cell_angle_beta 60.00
_cell_angle_gamma 60.00
_symmetry_space_group_name_H-M 'P 1'
_symmetry_Int_Tables_number 1
_symmetry_space_group_name_Hall 'P 1'
loop_
_atom_site_label
_atom_site_fract_x
_atom_site_fract_y
_atom_site_fract_z
Cs1 0.250 0.250 0.250
Pr1 0.000 0.000 0.000
Sm1 0.750 0.750 0.750
# Magnetic moment in μB/atom: 1.5809
# Volume in Å³ per cell: 165.3
# SG: F-43m (216)
# Theoretical density in kg/m³: 4261
# E in eV per cell: -6.8



# ScNiSnOs PBE-GGA optimized geometry
data_ScNiSnOs
_cell_length_a 4.553
_cell_length_b 4.553
_cell_length_c 4.553
_cell_angle_alpha 60.00
_cell_angle_beta 60.00
_cell_angle_gamma 60.00
_symmetry_space_group_name_H-M 'P 1'
_symmetry_Int_Tables_number 1
_symmetry_space_group_name_Hall 'P 1'
loop_
_atom_site_label
_atom_site_fract_x
_atom_site_fract_y
_atom_site_fract_z
Ni1 0.750 0.750 0.750
Os1 0.500 0.500 0.500
Sc1 0.250 0.250 0.250
Sn1 0.000 0.000 0.000
# Magnetic moment in μB/atom: 0.0447
# Volume in Å³ per cell: 66.7
# SG: F-43m (216)
# Theoretical density in kg/m³: 10264
# E in eV per cell: -26.7



# ZnOs2Pt PBE-GGA optimized geometry
data_ZnOs2Pt
_cell_length_a 4.374
_cell_length_b 4.374
_cell_length_c 4.374
_cell_angle_alpha 60.00
_cell_angle_beta 60.00
_cell_angle_gamma 60.00
_symmetry_space_group_name_H-M 'P 1'
_symmetry_Int_Tables_number 1
_symmetry_space_group_name_Hall 'P 1'
loop_
_atom_site_label
_atom_site_fract_x
_atom_site_fract_y
_atom_site_fract_z
Os1 0.000 0.000 0.000
Os2 0.750 0.750 0.750
Pt1 0.500 0.500 0.500
Zn1 0.250 0.250 0.250
# Magnetic moment in μB/atom: 0.0062
# Volume in Å³ per cell: 59.2
# SG: F-43m (216)
# Theoretical density in kg/m³: 17988
# E_form in eV per atom: 0.398



# ZrAgNO PBE-GGA optimized geometry
data_ZrAgNO
_cell_length_a 3.585
_cell_length_b 5.919
_cell_length_c 6.937
_cell_angle_alpha 90.00
_cell_angle_beta 90.00
_cell_angle_gamma 90.00
_symmetry_space_group_name_H-M 'P 1'
_symmetry_Int_Tables_number 1
_symmetry_space_group_name_Hall 'P 1'
loop_
_atom_site_label
_atom_site_fract_x
_atom_site_fract_y
_atom_site_fract_z
Ag1 0.000 0.611 0.477
Ag2 0.000 0.111 0.523
N1 0.000 0.882 0.288
N2 0.000 0.382 0.712
O1 0.500 0.294 0.090
O2 0.500 0.794 0.910
Zr1 0.500 0.967 0.154
Zr2 0.500 0.467 0.846
# Magnetic moment in μB/atom: 0.0000
# Volume in Å³ per cell: 147.2
# SG: Pmc2_1 (26)
# Theoretical density in kg/m³: 5169
# E in eV per cell: -59.9



# LaPrGa2Ni4 PBE-GGA optimized geometry
data_LaPrGa2Ni4
_cell_length_a 4.199
_cell_length_b 4.199
_cell_length_c 9.530
_cell_angle_alpha 90.00
_cell_angle_beta 90.00
_cell_angle_gamma 120.00
_symmetry_space_group_name_H-M 'P 1'
_symmetry_Int_Tables_number 1
_symmetry_space_group_name_Hall 'P 1'
loop_
_atom_site_label
_atom_site_fract_x
_atom_site_fract_y
_atom_site_fract_z
Ga1 0.333 0.667 0.254
Ga2 0.333 0.667 0.746
La1 0.000 0.000 0.000
Ni1 0.667 0.333 0.199
Ni2 0.000 0.000 0.300
Ni3 0.000 0.000 0.700
Ni4 0.667 0.333 0.801
Pr1 0.667 0.333 0.500
# Magnetic moment in μB/atom: 0.0004
# Volume in Å³ per cell: 145.5
# SG: P-6m2 (187)
# Theoretical density in kg/m³: 7463
# E in eV per cell: -42.1



# Zr4Ga3 PBE-GGA optimized geometry
data_Zr4Ga3
_cell_length_a 8.259
_cell_length_b 8.259
_cell_length_c 4.698
_cell_angle_alpha 90.00
_cell_angle_beta 90.00
_cell_angle_gamma 60.00
_symmetry_space_group_name_H-M 'P 1'
_symmetry_Int_Tables_number 1
_symmetry_space_group_name_Hall 'P 1'
loop_
_atom_site_label
_atom_site_fract_x
_atom_site_fract_y
_atom_site_fract_z
Ga1 0.147 0.264 0.000
Ga2 0.302 0.576 0.000
Ga3 0.836 0.731 0.000
Ga4 0.376 0.116 0.500
Ga5 0.688 0.650 0.500
Ga6 0.221 0.805 0.500
Zr1 0.529 0.187 0.000
Zr2 0.759 0.427 0.000
Zr3 0.429 0.857 0.000
Zr4 0.999 0.957 0.000
Zr5 0.995 0.194 0.500
Zr6 0.525 0.424 0.500
Zr7 0.095 0.524 0.500
Zr8 0.765 0.954 0.500
# Magnetic moment in μB/atom: 0.0002
# Volume in Å³ per cell: 277.5
# SG: P6_3/m (176)
# Theoretical density in kg/m³: 6870
# E in eV per cell: -92.1



Question: What is the volume in the eighth record?
Answer: 66.7 Å³ per cell